Computed, not measured: a geometry-optimized Tm3Tl3VO8 structure at the PBE+U level of DFT.

The calculated volume is 16.75 Å³/atom. As for the total energy: -204.816 eV/cell.

It has space group C2/m (No. 12), with a = 11.519 Å, b = 6.672 Å, c = 7.598 Å, α = 90.00°, β = 120.60° and γ = 90.00°. The inequivalent atoms are Tm at (0.000, 0.000, 0.000), Tm at (0.250, 0.250, 0.000), Tl at (0.000, 0.500, 0.500), Tl at (0.250, 0.250, 0.500), V at (0.000, 0.500, 0.000), O at (0.023, 0.272, 0.840), O at (0.202, 0.500, 0.157) and O at (0.223, 0.000, 0.167).